(1)
This record from Alexandria describes crystalline LaScRu at its relaxed geometry. The functional is PBE.

The structure belongs to space group F-43m (No. 216); the cell edges are 6.713, 6.713 and 6.713 Å and the angles 90.00°, 90.00° and 90.00°. The asymmetric unit holds La at (0.000, 0.000, 0.000), Sc at (0.000, 0.000, 0.500) and Ru at (0.250, 0.250, 0.250).

The calculation puts the energy above the most stable polymorph in this dataset at 163 meV per atom. Its energy of formation is -0.203 eV/atom.

---

(2)
This record from Alexandria describes crystalline LaSc4Ru at its relaxed geometry. The functional is PBE.

The structure belongs to space group F-43m (No. 216); the cell edges are 8.262, 8.262 and 8.262 Å and the angles 90.00°, 90.00° and 90.00°. The asymmetric unit holds La at (0.000, 0.000, 0.000), Sc at (0.123, 0.123, 0.377) and Ru at (0.250, 0.250, 0.750).

Its energy of formation is 0.460 eV/atom.

---

(3)
This record from Alexandria describes crystalline LaScRu at its relaxed geometry. The functional is PBE.

The structure belongs to space group P4/nmm (No. 129, origin choice 2); the cell edges are 4.603, 4.603 and 6.650 Å and the angles 90.00°, 90.00° and 90.00°. The asymmetric unit holds La at (0.250, 0.250, 0.121), Sc at (0.250, 0.750, 0.500) and Ru at (0.250, 0.250, 0.735).

The calculation puts the energy above the most stable polymorph in this dataset at 0 meV per atom. Its energy of formation is -0.366 eV/atom.

---

(4)
This record from Alexandria describes crystalline LaScRu at its relaxed geometry. The functional is PBE.

The structure belongs to space group I4mm (No. 107); the cell edges are 3.356, 3.356 and 12.899 Å and the angles 90.00°, 90.00° and 90.00°. The asymmetric unit holds La at (0.000, 0.000, 0.000), Sc at (0.000, 0.000, 0.744) and Ru at (0.000, 0.000, 0.353).

The calculation puts the energy above the most stable polymorph in this dataset at 86 meV per atom. Its energy of formation is -0.281 eV/atom.

---

(5)
This record from Alexandria describes crystalline LaScRu at its relaxed geometry. The functional is PBE.

The structure belongs to space group F-43m (No. 216); the cell edges are 6.532, 6.532 and 6.532 Å and the angles 90.00°, 90.00° and 90.00°. The asymmetric unit holds La at (0.000, 0.000, 0.000), Sc at (0.250, 0.250, 0.750) and Ru at (0.250, 0.250, 0.250).

The calculation puts the energy above the most stable polymorph in this dataset at 1000 meV per atom. Its energy of formation is 0.634 eV/atom.

---

(6)
This record from Alexandria describes crystalline LaSc2Ru2 at its relaxed geometry. The functional is PBE.

The structure belongs to space group P4/mbm (No. 127); the cell edges are 7.987, 7.987 and 3.125 Å and the angles 90.00°, 90.00° and 90.00°. The asymmetric unit holds La at (0.000, 0.000, 0.000), Sc at (0.130, 0.370, 0.000) and Ru at (0.160, 0.660, 0.500).

The calculation puts the energy above the most stable polymorph in this dataset at 159 meV per atom. Its energy of formation is -0.197 eV/atom.

---

(7)
This record from Alexandria describes crystalline LaScRu at its relaxed geometry. The functional is PBE.

The structure belongs to space group P3m1 (No. 156); the cell edges are 4.0808, 4.0808 and 5.6296 Å and the angles 90.00°, 90.00° and 120.00°. The asymmetric unit holds La at (0.0000, 0.0000, 0.0000), Sc at (0.3333, 0.6667, 0.4747) and Ru at (0.6667, 0.3333, 0.2789).

The calculation puts the energy above the most stable polymorph in this dataset at 218 meV per atom. Its energy of formation is -0.149 eV/atom.

---

(8)
This record from Alexandria describes crystalline LaSc2Ru2 at its relaxed geometry. The functional is PBE.

The structure belongs to space group I4/mmm (No. 139); the cell edges are 4.705, 4.705 and 10.224 Å and the angles 90.00°, 90.00° and 90.00°. The asymmetric unit holds La at (0.000, 0.000, 0.000), Sc at (0.000, 0.000, 0.348) and Ru at (0.000, 0.500, 0.250).

The calculation puts the energy above the most stable polymorph in this dataset at 224 meV per atom. Its energy of formation is -0.132 eV/atom.

---

Q: Among the records above, which one has the lowest energy of formation?
A: number 3

---

Q: Among the records above, which one has the lowest energy of formation?
A: number 3

---

Q: What is the formula in the eighth record?
A: LaSc2Ru2